VASP calculation (GGA-PBE) on a relaxed La2InHgOs crystal.

Structure (CIF):
```
data_La2InHgOs
_chemical_formula_sum 'La2 In1 Hg1 Os1'
_symmetry_space_group_name_H-M 'P 1'
_symmetry_Int_Tables_number 1
_symmetry_space_group_name_Hall 'P 1'
_cell_length_a 5.5077
_cell_length_b 5.5077
_cell_length_c 5.2477
_cell_angle_alpha 90.00
_cell_angle_beta 90.00
_cell_angle_gamma 90.00
loop_
_atom_site_label
_atom_site_type_symbol
_atom_site_fract_x
_atom_site_fract_y
_atom_site_fract_z
_atom_site_occupancy
In1 In 0.0000 0.0000 0.5000 1
Os1 Os 0.0000 0.0000 0.0000 1
Hg1 Hg 0.5000 0.5000 0.5000 1
La1 La 0.0000 0.5000 0.0000 1
La2 La 0.5000 0.0000 0.0000 1
```

Calculated values
Symmetry: P4/mmm (123)
Total moment in μB per cell: 0.000
Energy of formation in eV/f.u.: -1.175
V in Å³ per cell: 159.2